The following is a DFT calculation (PBE-GGA) of MnCu2PdSe after structural relaxation.

Structure (POSCAR):
```
MnCu2PdSe
1.0
-3.9257 1.2768 2.2453
-2.3166 -3.6288 -1.9869
1.1833 -2.7420 3.6282
Mn Cu Se Pd
1 2 1 1
Direct
0.5000 0.5000 0.5000
0.0000 0.0000 0.5000
0.5000 0.0000 0.0000
0.0000 0.5000 0.0000
0.0000 0.0000 0.0000
```

Properties
Total moment, μB per cell: 4.844
SG: P4/mmm (123)
Formation energy without anion corrections, eV per atom: 0.715